Record 1
{
  "formula": "BeTeCl",
  "functional": "PBE",
  "state": "relaxed",
  "volume_a3_per_cell": 71,
  "spacegroup": "I4mm",
  "dft_energy_ev_per_atom": -2.793,
  "lattice": [[7.5712, 0.0516, 0.0000], [6.2499, 4.2737, 0.0000], [-6.9106, -2.1626, 2.2120]],
  "species": ["Be", "Te", "Cl"],
  "frac_coords": [[0.9829, 0.9829, 0.0000], [0.6204, 0.6204, 0.0000], [0.3967, 0.3967, 0.0000]]
}

***

Record 2
{
  "formula": "BeTeCl2",
  "functional": "PBE",
  "state": "relaxed",
  "volume_a3_per_cell": 116,
  "spacegroup": "P2/m",
  "dft_energy_ev_per_atom": -3.313,
  "lattice": [[-2.4016, -1.0649, 1.4872], [0.8037, -3.1176, -0.9344], [6.5802, -1.9929, 9.1991]],
  "species": ["Be", "Te", "Cl", "Cl"],
  "frac_coords": [[0.5000, 0.7500, 0.7500], [0.5000, 0.2500, 0.2500], [0.0000, 0.8726, 0.8696], [0.0000, 0.6274, 0.6304]]
}

***

Record 3
{
  "formula": "BeTeCl2",
  "functional": "PBE",
  "state": "relaxed",
  "volume_a3_per_cell": 147,
  "spacegroup": "Cmm2",
  "dft_energy_ev_per_atom": -2.911,
  "lattice": [[5.2570, -0.3113, 0.0000], [-3.9982, 3.4275, 0.0000], [0.0000, 0.0000, 8.7378]],
  "species": ["Be", "Te", "Cl", "Cl"],
  "frac_coords": [[0.5000, 0.5000, 0.7625], [0.0000, 0.0000, 0.5369], [0.0000, 0.0000, 0.9026], [0.5000, 0.5000, 0.2980]]
}

***

Record 4
{
  "formula": "BeTeCl2",
  "functional": "PBE",
  "state": "relaxed",
  "volume_a3_per_cell": 104,
  "spacegroup": "P4/mmm",
  "dft_energy_ev_per_atom": -2.835,
  "lattice": [[3.0092, 0.0000, 0.0000], [0.0000, 3.0092, 0.0000], [0.0000, 0.0000, 11.4709]],
  "species": ["Be", "Te", "Cl", "Cl"],
  "frac_coords": [[0.5000, 0.5000, 0.7500], [0.5000, 0.5000, 0.2500], [0.0000, 0.0000, 0.8743], [0.0000, 0.0000, 0.6257]]
}

***

Record 5
{
  "formula": "BeTeCl",
  "functional": "PBE",
  "state": "relaxed",
  "volume_a3_per_cell": 66,
  "spacegroup": "F-43m",
  "dft_energy_ev_per_atom": -2.595,
  "lattice": [[-3.4351, -2.8372, 0.8868], [0.2097, -2.7661, 3.5973], [-2.6843, 0.7354, 3.5902]],
  "species": ["Be", "Te", "Cl"],
  "frac_coords": [[0.7500, 0.7500, 0.7500], [0.5000, 0.5000, 0.5000], [0.0000, 0.0000, 0.0000]]
}

***

Record 6
{
  "formula": "BeTeCl2",
  "functional": "PBE",
  "state": "relaxed",
  "volume_a3_per_cell": 197,
  "spacegroup": "I-42d",
  "dft_energy_ev_per_atom": -3.061,
  "lattice": [[-4.4672, 4.7686, 0.4654], [-4.6917, -4.4827, 0.8976], [-3.8995, 0.3380, 5.2094]],
  "species": ["Be", "Be", "Te", "Te", "Cl", "Cl", "Cl", "Cl"],
  "frac_coords": [[0.5000, 0.5000, 0.0000], [0.2500, 0.7500, 0.5000], [0.0000, 0.0000, 0.0000], [0.7500, 0.2500, 0.5000], [0.4189, 0.1250, 0.2500], [0.3311, 0.6250, 0.2500], [0.3750, 0.5811, 0.7500], [0.8750, 0.6689, 0.7500]]
}

***

Formation energy (no corrections) for every record listed, in sequence, given in eV/atom: 0.11 -0.67 -0.27 -0.19 0.31 -0.42.
Polymorph energy (0 for the lowest one) for every record listed, in sequence, given in meV per atom: 777 68 470 547 975 321.